Record 1
Below is a relaxed K2CrP2S6 crystal, with properties calculated at the GGA-PBE level.

Calculated values
- formation energy from raw total energies (eV per formula unit) = -7.0
- VASP energy (eV per cell) = -54.39

Unit cell a=6.4436 b=6.4436 c=7.1783 alpha=90.00 beta=90.00 gamma=120.00
Closest atoms and distances in Å follow each position.
Sites, in units of the cell vectors:
K  0.3333  0.6667  0.4018  6 S 3.16-3.41, 1 P 3.36
K  0.6667  0.3333  0.5982  6 S 3.16-3.41, 1 P 3.36
Cr  0.0000  0.0000  0.0000  6 S 2.40
P  0.3333  0.6667  0.9331  3 S 2.13
P  0.6667  0.3333  0.0669  3 S 2.13
S  0.1055  0.3344  0.7970  1 P 2.13
S  0.2289  0.8945  0.7970  1 P 2.13
S  0.3344  0.2289  0.2030  1 P 2.13
S  0.6656  0.7711  0.7970  1 P 2.13
S  0.7711  0.1055  0.2030  1 P 2.13
S  0.8945  0.6656  0.2030  1 P 2.13

***

Record 2
Below is a relaxed HfSiB3 crystal, with properties calculated at the GGA-PBE level.

Calculated values
- formation energy from raw total energies (eV per formula unit) = 9.5
- VASP energy (eV per cell) = -25.87

Unit cell a=4.4166 b=4.4166 c=4.4166 alpha=90.00 beta=90.00 gamma=90.00
Closest atoms and distances in Å follow each position.
Sites, in units of the cell vectors:
Hf  0.0000  0.0000  0.0000  6 B 2.21
Si  0.5000  0.5000  0.5000  12 B 3.12
B  0.0000  0.0000  0.5000  2 Hf 2.21
B  0.0000  0.5000  0.0000  2 Hf 2.21
B  0.5000  0.0000  0.0000  2 Hf 2.21

***

Record 3
Below is a relaxed AcSm4Dy5 crystal, with properties calculated at the GGA-PBE level.

Calculated values
- energy of formation from the pure elements (eV per atom) = 0.058
- VASP energy (eV per cell) = -45.41

Unit cell a=11.3001 b=11.3001 c=8.2847 alpha=97.46 beta=97.46 gamma=18.98
Closest atoms and distances in Å follow each position.
Sites, in units of the cell vectors:
Ac  0.0000  0.0000  0.0000  2 Ac 3.73, 6 Dy 3.73-4.14, 6 Sm 3.97-4.14
Sm  0.1875  0.1875  0.0530  5 Dy 3.50-3.60, 6 Sm 3.56-3.73
Sm  0.3864  0.3864  0.6639  6 Dy 3.48-3.73, 4 Sm 3.56-3.73
Sm  0.6136  0.6136  0.3361  6 Dy 3.48-3.73, 4 Sm 3.56-3.73
Sm  0.8125  0.8125  0.9470  5 Dy 3.50-3.60, 6 Sm 3.56-3.73
Dy  0.0000  0.0000  0.5000  6 Dy 3.40-3.73, 4 Sm 3.55
Dy  0.2179  0.2179  0.6404  6 Dy 3.44-3.73, 6 Sm 3.57-3.73
Dy  0.3999  0.3999  0.2497  6 Dy 3.40-3.73, 3 Sm 3.48-3.50, 2 Ac 3.73
Dy  0.6001  0.6001  0.7503  6 Dy 3.40-3.73, 3 Sm 3.48-3.50, 2 Ac 3.73
Dy  0.7821  0.7821  0.3596  6 Dy 3.44-3.73, 6 Sm 3.57-3.73

***

Record 4
Below is a relaxed BeSiSb2 crystal, with properties calculated at the GGA-PBE level.

Calculated values
- formation energy from raw total energies (eV per formula unit) = 2.0
- VASP energy (eV per cell) = -15.41

Unit cell a=4.8200 b=3.8150 c=4.8381 alpha=90.00 beta=105.43 gamma=90.00
Closest atoms and distances in Å follow each position.
Sites, in units of the cell vectors:
Be  0.0000  0.0000  0.0000  4 Sb 2.58
Si  0.5000  0.0000  0.5000  4 Sb 2.84, 2 Be 2.93
Sb  0.2267  0.5000  0.7733  2 Be 2.58, 2 Si 2.84
Sb  0.7733  0.5000  0.2267  2 Be 2.58, 2 Si 2.84

***

Record 5
Below is a relaxed K2InSn3 crystal, with properties calculated at the GGA-PBE level.

Calculated values
- energy of formation from the pure elements (eV per atom) = -0.211
- VASP energy (eV per cell) = -18.21

Unit cell a=6.6066 b=6.6066 c=8.4021 alpha=129.41 beta=129.41 gamma=48.90
Closest atoms and distances in Å follow each position.
Sites, in units of the cell vectors:
K  0.0000  0.0000  0.0000  9 Sn 3.59-3.96, 1 In 3.76
K  0.5055  0.5055  0.6485  7 Sn 3.57-3.96, 3 In 3.63-3.66
In  0.8335  0.8335  0.2473  4 Sn 2.99-3.12
Sn  0.1798  0.1798  0.5868  1 In 2.99, 3 Sn 3.03-3.10
Sn  0.3261  0.3261  0.0602  2 Sn 3.00-3.03, 2 In 3.12
Sn  0.6738  0.6738  0.4078  3 Sn 3.00-3.10, 1 In 3.02

***

Record 6
Below is a relaxed CsBi2P2 crystal, with properties calculated at the GGA-PBE level.

Calculated values
- energy of formation from the pure elements (eV per atom) = -0.076
- VASP energy (eV per cell) = -19.82

Unit cell a=6.9468 b=6.9468 c=6.9468 alpha=135.25 beta=135.25 gamma=65.13
Closest atoms and distances in Å follow each position.
Sites, in units of the cell vectors:
Cs  0.0000  0.0000  0.0000  8 P 3.94, 10 Bi 3.95-4.19
Bi  0.3378  0.3378  0.0000  4 P 2.84
Bi  0.6622  0.6622  0.0000  4 P 2.84
P  0.2500  0.7500  0.5000  4 Bi 2.84
P  0.7500  0.2500  0.5000  4 Bi 2.84

***

Record 7
Below is a relaxed Li4DyPa3Se8 crystal, with properties calculated at the GGA-PBE level.

Calculated values
- formation energy from raw total energies (eV per formula unit) = -21.8
- VASP energy (eV per cell) = -90.45

Unit cell a=8.1225 b=8.1225 c=8.1225 alpha=59.05 beta=59.05 gamma=59.05
Closest atoms and distances in Å follow each position.
Sites, in units of the cell vectors:
Li  0.0000  0.0000  0.0000  6 Se 2.82
Li  0.0000  0.5000  0.5000  6 Se 2.79-2.80
Li  0.5000  0.0000  0.5000  6 Se 2.79-2.80
Li  0.5000  0.5000  0.0000  6 Se 2.79-2.80
Dy  0.5000  0.5000  0.5000  6 Se 2.88
Pa  0.0000  0.0000  0.5000  6 Se 2.90-2.92
Pa  0.0000  0.5000  0.0000  6 Se 2.90-2.92
Pa  0.5000  0.0000  0.0000  6 Se 2.90-2.92
Se  0.2474  0.2474  0.7443  3 Li 2.80-2.82, 1 Dy 2.88, 2 Pa 2.90
Se  0.2474  0.7443  0.2474  3 Li 2.80-2.82, 1 Dy 2.88, 2 Pa 2.90
Se  0.2554  0.2554  0.2554  3 Li 2.79, 3 Pa 2.92
Se  0.2557  0.7526  0.7526  3 Li 2.80-2.82, 1 Dy 2.88, 2 Pa 2.90
Se  0.7443  0.2474  0.2474  3 Li 2.80-2.82, 1 Dy 2.88, 2 Pa 2.90
Se  0.7446  0.7446  0.7446  3 Li 2.79, 3 Pa 2.92
Se  0.7526  0.2557  0.7526  3 Li 2.80-2.82, 1 Dy 2.88, 2 Pa 2.90
Se  0.7526  0.7526  0.2557  3 Li 2.80-2.82, 1 Dy 2.88, 2 Pa 2.90

***

Record 8
Below is a relaxed TlCo2Br crystal, with properties calculated at the GGA-PBE level.

Calculated values
- formation energy from raw total energies (eV per formula unit) = 1.4
- VASP energy (eV per cell) = -16.83

Unit cell a=4.5113 b=6.3909 c=6.3909 alpha=30.53 beta=90.00 gamma=90.00
Closest atoms and distances in Å follow each position.
Sites, in units of the cell vectors:
Tl  0.0000  0.0000  0.0000  6 Co 2.71-2.81
Co  0.5000  0.1225  0.1225  2 Co 2.25, 2 Br 2.46
Co  0.5000  0.5014  0.5014  2 Co 2.25
Br  0.5000  0.7681  0.7681  2 Co 2.46

***

Record 9
Below is a relaxed Rb2SiAg crystal, with properties calculated at the GGA-PBE level.

Calculated values
- formation energy from raw total energies (eV per formula unit) = 0.8
- VASP energy (eV per cell) = -18.85

Unit cell a=9.7950 b=9.7950 c=9.7950 alpha=93.35 beta=93.35 gamma=152.04
Closest atoms and distances in Å follow each position.
Sites, in units of the cell vectors:
Rb  0.3750  0.1598  0.2848  2 Ag 3.44, 2 Si 3.83
Rb  0.8402  0.1250  0.2152  2 Ag 3.44, 2 Si 3.83
Rb  0.8750  0.0902  0.7152  2 Ag 3.44, 2 Si 3.83
Rb  0.9098  0.6250  0.7848  2 Ag 3.44, 2 Si 3.83
Si  0.2500  0.7500  0.5000  2 Ag 2.37
Si  0.5000  0.5000  0.0000  2 Ag 2.37
Ag  0.0000  0.0000  0.0000  2 Si 2.37
Ag  0.7500  0.2500  0.5000  2 Si 2.37

***

Record 10
Below is a relaxed ZnGa2Co3 crystal, with properties calculated at the GGA-PBE level.

Calculated values
- energy of formation from the pure elements (eV per atom) = -0.213
- VASP energy (eV per cell) = -29.92

Unit cell a=2.8789 b=2.8789 c=8.6193 alpha=90.00 beta=90.00 gamma=90.00
Closest atoms and distances in Å follow each position.
Sites, in units of the cell vectors:
Zn  0.0000  0.0000  0.0000  8 Co 2.52
Ga  0.0000  0.0000  0.3306  8 Co 2.45-2.51
Ga  0.0000  0.0000  0.6694  8 Co 2.45-2.51
Co  0.5000  0.5000  0.1718  4 Ga 2.45, 4 Zn 2.52
Co  0.5000  0.5000  0.5000  8 Ga 2.51
Co  0.5000  0.5000  0.8282  4 Ga 2.45, 4 Zn 2.52

***

Record 11
Below is a relaxed BeRhBr crystal, with properties calculated at the GGA-PBE level.

Calculated values
- formation energy from raw total energies (eV per formula unit) = 0.0
- VASP energy (eV per cell) = -51.15

Unit cell a=7.8089 b=3.7028 c=8.3113 alpha=90.00 beta=90.00 gamma=90.00
Closest atoms and distances in Å follow each position.
Sites, in units of the cell vectors:
Be  0.0693  0.2500  0.0054  2 Be 2.15, 3 Rh 2.19-2.20
Be  0.4307  0.7500  0.5054  2 Be 2.15, 3 Rh 2.19-2.20
Be  0.5693  0.2500  0.4946  2 Be 2.15, 3 Rh 2.19-2.20
Be  0.9307  0.7500  0.9946  2 Be 2.15, 3 Rh 2.19-2.20
Rh  0.1918  0.7500  0.0898  3 Be 2.19-2.20
Rh  0.3082  0.2500  0.5898  3 Be 2.19-2.20
Rh  0.6918  0.7500  0.4102  3 Be 2.19-2.20
Rh  0.8082  0.2500  0.9102  3 Be 2.19-2.20
Br  0.1691  0.2500  0.3245  3 Rh 2.46-2.70
Br  0.3309  0.7500  0.8245  3 Rh 2.46-2.70
Br  0.6691  0.2500  0.1755  3 Rh 2.46-2.70
Br  0.8309  0.7500  0.6755  3 Rh 2.46-2.70

***

Question: VASP energy of number 6 (CsBi2P2)?
Answer: -19.82 eV per cell

***

Question: Among the records above, which one has the lowest VASP energy?
Answer: Li4DyPa3Se8